## Ho2ScRh (PBE)

Data for a relaxed structure of Ho2ScRh.

## Properties
Energy relative to the lowest polymorph listed for this composition in meV/atom: 0
Energy of formation in meV/atom: -496

```
data_Ho2ScRh
_chemical_formula_sum 'Ho4 Sc2 Rh2'
_cell_length_a 3.709
_cell_length_b 6.139
_cell_length_c 9.052
_cell_angle_alpha 90.00
_cell_angle_beta 90.00
_cell_angle_gamma 107.57
_symmetry_space_group_name_H-M 'P 1'
_symmetry_Int_Tables_number 1
loop_
_symmetry_equiv_pos_as_xyz
'x,y,z'
loop_
_atom_site_label
_atom_site_type_symbol
_atom_site_fract_x
_atom_site_fract_y
_atom_site_fract_z
Ho1 Ho 0.364 0.728 0.566
Ho2 Ho 0.636 0.272 0.434
Ho3 Ho 0.364 0.728 0.934
Ho4 Ho 0.636 0.272 0.066
Sc1 Sc 0.926 0.852 0.250
Sc2 Sc 0.074 0.148 0.750
Rh1 Rh 0.741 0.483 0.750
Rh2 Rh 0.259 0.517 0.250
```